Crystalline Y4Tm15Th at its relaxed geometry. Source: Alexandria, functional PBE-GGA.

Structure (POSCAR):
```
Y4Tm15Th
1.0
-1.479 1.386 -4.540
3.712 -2.626 -2.011
-14.735 -19.864 -1.262
Y Tm Th
4 15 1
Direct
0.000 0.000 0.200
0.000 0.000 0.400
0.000 0.000 0.600
0.000 0.000 0.800
0.500 0.500 0.000
0.500 0.500 0.201
0.500 0.500 0.400
0.500 0.500 0.600
0.500 0.500 0.799
0.500 0.000 0.099
0.500 0.000 0.300
0.500 0.000 0.500
0.500 0.000 0.700
0.500 0.000 0.901
0.000 0.500 0.099
0.000 0.500 0.300
0.000 0.500 0.500
0.000 0.500 0.700
0.000 0.500 0.901
0.000 0.000 0.000
```

Calculated values
The total energy comes out at -0.367 Ry/atom. For the spin magnetization, the calculation gives 0.00 μB per cell.


Crystalline Y6Tm3Th at its relaxed geometry. Source: Alexandria, functional PBE-GGA.

Structure (POSCAR):
```
Y6Tm3Th
1.0
-8.622 2.869 -3.652
-3.526 -4.206 -8.111
-5.883 -3.155 -1.719
Y Tm Th
6 3 1
Direct
0.900 0.566 0.299
0.234 0.900 0.299
0.566 0.234 0.299
0.064 0.400 0.799
0.736 0.064 0.799
0.400 0.736 0.799
0.400 0.400 0.801
0.642 0.642 0.073
0.157 0.157 0.529
0.900 0.900 0.300
```

Calculated values
For the spin magnetization, the calculation gives 0.00 μB per cell. For the offset from the most stable computed form, the calculation gives 103.3 meV/atom.


Crystalline YTm9Th2 at its relaxed geometry. Source: Alexandria, functional PBE-GGA.

Structure (POSCAR):
```
YTm9Th2
1.0
4.969 0.000 0.000
0.000 4.969 0.000
0.000 0.000 14.899
Y Tm Th
1 9 2
Direct
0.000 0.000 0.000
0.500 0.500 0.000
0.500 0.500 0.333
0.500 0.500 0.667
0.500 0.000 0.168
0.500 0.000 0.500
0.500 0.000 0.832
0.000 0.500 0.168
0.000 0.500 0.500
0.000 0.500 0.832
0.000 0.000 0.334
0.000 0.000 0.666
```

Calculated values
The total energy comes out at -0.374 Ry/atom. For the spin magnetization, the calculation gives 0.00 μB per cell.


Crystalline Y5TmTh at its relaxed geometry. Source: Alexandria, functional PBE-GGA.

Structure (POSCAR):
```
Y5TmTh
1.0
-5.182 2.819 -1.666
-6.559 -1.620 6.385
0.963 7.782 3.796
Y Tm Th
10 2 2
Direct
0.385 0.628 0.854
0.459 0.305 0.537
0.012 0.372 0.354
0.853 0.295 0.750
0.235 0.305 0.963
0.765 0.695 0.037
0.147 0.705 0.250
0.988 0.628 0.646
0.541 0.695 0.463
0.615 0.372 0.146
0.514 0.973 0.750
0.486 0.027 0.250
0.000 0.000 0.000
0.000 0.000 0.500
```

Calculated values
The total energy comes out at -0.449 Ry/atom. For the spin magnetization, the calculation gives 0.00 μB per cell.


Copy entry 2 word for word.
Crystalline Y6Tm3Th at its relaxed geometry. Source: Alexandria, functional PBE-GGA.

Structure (POSCAR):
```
Y6Tm3Th
1.0
-8.622 2.869 -3.652
-3.526 -4.206 -8.111
-5.883 -3.155 -1.719
Y Tm Th
6 3 1
Direct
0.900 0.566 0.299
0.234 0.900 0.299
0.566 0.234 0.299
0.064 0.400 0.799
0.736 0.064 0.799
0.400 0.736 0.799
0.400 0.400 0.801
0.642 0.642 0.073
0.157 0.157 0.529
0.900 0.900 0.300
```

Calculated values
For the spin magnetization, the calculation gives 0.00 μB per cell. For the offset from the most stable computed form, the calculation gives 103.3 meV/atom.


Which value of spin magnetization does entry 1 give? 0.00 μB per cell